[1]
DFT (GGA-PBEsol) results for a geometry-optimized SrHf2Tl structure.

Cell lengths 7.232, 7.232, 7.232 Å; angles 90.00, 90.00, 90.00 degrees
Space group Fm-3m (No. 225)
Unique sites:
Sr: 0.000 0.000 0.000
Hf: 0.250 0.250 0.250
Tl: 0.000 0.000 0.500

Calculated values
**DOS(E_F)**: 1.39 states/eV per atom
**Energy of formation**: 584 meV/atom

[2]
DFT (GGA-PBEsol) results for a geometry-optimized SrHfW2 structure.

Cell lengths 6.828, 6.828, 6.828 Å; angles 90.00, 90.00, 90.00 degrees
Space group Fm-3m (No. 225)
Unique sites:
Sr: 0.000 0.000 0.000
Hf: 0.000 0.000 0.500
W: 0.250 0.250 0.250

Calculated values
**DOS(E_F)**: 1.57 states/eV per atom
**Energy of formation**: 1284 meV/atom

[3]
DFT (GGA-PBEsol) results for a geometry-optimized HfTa2ZnTc structure.

Cell lengths 4.648, 4.648, 4.466 Å; angles 90.00, 90.00, 90.00 degrees
Space group P4/mmm (No. 123)
Unique sites:
Hf: 0.000 0.000 0.000
Ta: 0.000 0.500 0.500
Zn: 0.500 0.500 0.500
Tc: 0.500 0.500 0.000

Calculated values
**DOS(E_F)**: 1.12 states/eV per atom
**Energy of formation**: 1185 meV/atom

- Which value of energy of formation does entry 1 give?
  584 meV/atom